DFT (PBE) results for an optimized crystal structure of V4N3.

Calculated values
**Energy relative to the elements, uncorrected**: -0.9643 eV/atom

a = 4.090 Å, b = 4.090 Å, c = 4.948 Å
α = 114.41°, β = 114.41°, γ = 90.00°
Element x y z (fractional)
N: 0.000 0.000 0.000
N: 0.250 0.750 0.500
N: 0.750 0.250 0.500
V: 0.500 0.000 0.000
V: 0.752 0.752 0.503
V: 0.248 0.248 0.497
V: 0.000 0.500 0.000



DFT (PBE) results for an optimized crystal structure of Be2AgW.

Calculated values
**Energy above the lowest structure with this stoichiometry**: 418 meV/atom
**Formation energy**: 13.6 kcal/mol of atoms

a = 5.039 Å, b = 5.039 Å, c = 5.039 Å
α = 140.32°, β = 140.32°, γ = 57.37°
Element x y z (fractional)
Be: 0.250 0.750 0.500
Be: 0.000 0.000 0.000
Ag: 0.750 0.250 0.500
W: 0.500 0.500 0.000



Q: What is the formula in the first record?
A: V4N3